# Co3Ni2Pt2 PBE-GGA relaxed
data_Co3Ni2Pt2
_chemical_formula_sum 'Co6 Ni4 Pt4'
_cell_length_a 11.899
_cell_length_b 2.630
_cell_length_c 6.317
_cell_angle_alpha 90.00
_cell_angle_beta 115.92
_cell_angle_gamma 90.00
_symmetry_space_group_name_H-M 'C 1 2/m 1'
_symmetry_Int_Tables_number 12
loop_
_symmetry_equiv_pos_as_xyz
'x,y,z'
'-x,-y,-z'
'-x,y,-z'
'x,-y,z'
'x+1/2,y+1/2,z'
'-x+1/2,-y+1/2,-z'
'-x+1/2,y+1/2,-z'
'x+1/2,-y+1/2,z'
loop_
_atom_site_label
_atom_site_type_symbol
_atom_site_fract_x
_atom_site_fract_y
_atom_site_fract_z
Co1 Co 0.000 0.000 0.000
Co2 Co 0.226 0.000 0.135
Ni1 Ni 0.081 0.000 0.710
Pt1 Pt 0.132 0.500 0.392
# energy relative to the lowest polymorph listed for this composition = 0.104 eV/atom
# DFT formation energy = 23 meV/atom